First-principles (PBE) data for a geometry-optimized KNp4Cu3Se12 structure, as listed in Alexandria via LeMat-Bulk.

a = 8.8273 Å, b = 8.8273 Å, c = 8.8273 Å
α = 109.47°, β = 109.47°, γ = 109.47°
With the nearest neighbours (Å) after each atom.
Atoms (fractional coordinates):
K 0.0000 0.0000 0.0000  12 Se 3.68
Np 0.0000 0.0000 0.5000  6 Se 2.78
Np 0.0000 0.5000 0.0000  6 Se 2.78
Np 0.5000 0.0000 0.0000  6 Se 2.78
Np 0.5000 0.5000 0.5000  6 Se 2.78
Cu 0.0000 0.5000 0.5000  4 Se 2.49
Cu 0.5000 0.0000 0.5000  4 Se 2.49
Cu 0.5000 0.5000 0.0000  4 Se 2.49
Se 0.1550 0.8340 0.3210  1 Cu 2.49, 2 Np 2.78
Se 0.1660 0.3210 0.4870  1 Cu 2.49, 2 Np 2.78
Se 0.1660 0.6790 0.8450  1 Cu 2.49, 2 Np 2.78
Se 0.3210 0.1550 0.8340  1 Cu 2.49, 2 Np 2.78
Se 0.3210 0.4870 0.1660  1 Cu 2.49, 2 Np 2.78
Se 0.4870 0.1660 0.3210  1 Cu 2.49, 2 Np 2.78
Se 0.5130 0.8340 0.6790  1 Cu 2.49, 2 Np 2.78
Se 0.6790 0.5130 0.8340  1 Cu 2.49, 2 Np 2.78
Se 0.6790 0.8450 0.1660  1 Cu 2.49, 2 Np 2.78
Se 0.8340 0.3210 0.1550  1 Cu 2.49, 2 Np 2.78
Se 0.8340 0.6790 0.5130  1 Cu 2.49, 2 Np 2.78
Se 0.8450 0.1660 0.6790  1 Cu 2.49, 2 Np 2.78

Summary:
Uncorrected formation energy = -0.64 eV per atom